--- A ---
GGA-PBE DyPPdO, relaxed; crystal system = orthorhombic
1.0
3.534 0.000 0.000
0.000 7.609 0.000
0.000 0.000 5.516
Dy P Pd O
2 2 2 2
Direct
0.000 0.226 0.000
0.000 0.774 0.500
0.000 0.408 0.500
0.000 0.592 0.000
0.500 0.216 0.500
0.500 0.784 0.000
0.500 0.079 0.008
0.500 0.921 0.508

=====

--- B ---
GGA-PBE DyPPdO, relaxed; crystal system = tetragonal
1.0
5.613 0.000 0.000
0.000 5.613 0.000
0.000 0.000 4.506
Dy P Pd O
2 2 2 2
Direct
0.250 0.750 0.000
0.750 0.250 0.000
0.250 0.250 0.004
0.750 0.750 0.996
0.250 0.250 0.504
0.750 0.750 0.496
0.250 0.750 0.500
0.750 0.250 0.500

=====

What should be chosen as the least stable of them? Choose B.

=====

--- A ---
GGA-PBE DyPPdO, relaxed; crystal system = tetragonal
1.0
4.041 0.000 0.000
0.000 4.041 0.000
0.000 0.000 7.808
Dy P Pd O
2 2 2 2
Direct
0.250 0.250 0.133
0.750 0.750 0.867
0.250 0.250 0.666
0.750 0.750 0.334
0.250 0.750 0.500
0.750 0.250 0.500
0.250 0.750 0.000
0.750 0.250 0.000

=====

--- B ---
GGA-PBE DyPPdO, relaxed; crystal system = orthorhombic
1.0
4.757 0.000 0.000
0.000 4.446 0.000
0.000 0.000 5.967
Dy P Pd O
2 2 2 2
Direct
0.000 0.200 0.000
0.000 0.800 0.500
0.500 0.127 0.710
0.500 0.873 0.210
0.500 0.375 0.355
0.500 0.625 0.855
0.000 0.334 0.358
0.000 0.666 0.858

=====

What should be chosen as the least stable of them? Choose B.

=====

--- A ---
GGA-PBE DyRePO, relaxed; crystal system = tetragonal
1.0
3.915 0.000 0.000
0.000 3.915 0.000
0.000 0.000 8.296
Dy Re P O
2 2 2 2
Direct
0.250 0.250 0.133
0.750 0.750 0.867
0.250 0.750 0.500
0.750 0.250 0.500
0.250 0.250 0.670
0.750 0.750 0.330
0.250 0.750 0.000
0.750 0.250 0.000

=====

--- B ---
GGA-PBE DyRePO, relaxed; crystal system = orthorhombic
1.0
4.037 0.000 0.000
0.000 6.077 0.000
0.000 0.000 5.507
Dy Re P O
2 2 2 2
Direct
0.000 0.162 0.000
0.000 0.838 0.500
0.500 0.445 0.735
0.500 0.555 0.235
0.000 0.320 0.509
0.000 0.680 0.009
0.500 0.259 0.053
0.500 0.741 0.553

=====

What should be chosen as the least stable of them? Choose B.

=====

--- A ---
GGA-PBE DyScPO, relaxed; crystal system = orthorhombic
1.0
4.145 0.000 0.000
0.000 6.853 0.000
0.000 0.000 5.718
Dy Sc P O
2 2 2 2
Direct
0.000 0.202 0.000
0.000 0.798 0.500
0.500 0.386 0.587
0.500 0.614 0.087
0.000 0.194 0.493
0.000 0.806 0.993
0.500 0.338 0.946
0.500 0.662 0.446

=====

--- B ---
GGA-PBE DyScPO, relaxed; crystal system = tetragonal
1.0
4.124 0.000 0.000
0.000 4.124 0.000
0.000 0.000 8.500
Dy Sc P O
2 2 2 2
Direct
0.250 0.250 0.116
0.750 0.750 0.884
0.250 0.750 0.500
0.750 0.250 0.500
0.250 0.250 0.683
0.750 0.750 0.317
0.250 0.750 0.000
0.750 0.250 0.000

=====

--- C ---
GGA-PBE DyScPO, relaxed; crystal system = tetragonal
1.0
4.468 0.000 0.000
0.000 4.468 0.000
0.000 0.000 8.380
Dy Sc P O
2 2 2 2
Direct
0.250 0.750 0.000
0.750 0.250 0.000
0.250 0.250 0.485
0.750 0.750 0.515
0.250 0.250 0.180
0.750 0.750 0.820
0.250 0.750 0.500
0.750 0.250 0.500

=====

--- D ---
GGA-PBE DyScPO, relaxed; crystal system = orthorhombic
1.0
3.921 0.000 0.000
0.000 5.672 0.000
0.000 0.000 6.677
Dy Sc P O
2 2 2 2
Direct
0.000 0.075 0.000
0.000 0.925 0.500
0.500 0.372 0.343
0.500 0.628 0.843
0.500 0.190 0.711
0.500 0.810 0.211
0.000 0.272 0.299
0.000 0.728 0.799

=====

What should be chosen as the least stable of them? Choose C.

=====

--- A ---
GGA-PBE DySiPO, relaxed; crystal system = tetragonal
1.0
4.242 0.000 0.000
0.000 4.242 0.000
0.000 0.000 7.134
Dy Si P O
2 2 2 2
Direct
0.250 0.250 0.127
0.750 0.750 0.873
0.250 0.750 0.500
0.750 0.250 0.500
0.250 0.250 0.645
0.750 0.750 0.355
0.250 0.750 0.000
0.750 0.250 0.000

=====

--- B ---
GGA-PBE DySiPO, relaxed; crystal system = orthorhombic
1.0
3.825 0.000 0.000
0.000 5.778 0.000
0.000 0.000 5.872
Dy Si P O
2 2 2 2
Direct
0.000 0.232 0.000
0.000 0.768 0.500
0.500 0.362 0.406
0.500 0.638 0.906
0.500 0.081 0.684
0.500 0.919 0.184
0.000 0.395 0.360
0.000 0.605 0.860

=====

What should be chosen as the least stable of them? Choose B.

=====

--- A ---
GGA-PBE DySiPO, relaxed; crystal system = tetragonal
1.0
4.942 0.000 0.000
0.000 4.942 0.000
0.000 0.000 5.442
Dy Si P O
2 2 2 2
Direct
0.250 0.750 0.000
0.750 0.250 0.000
0.250 0.250 0.424
0.750 0.750 0.576
0.250 0.250 0.822
0.750 0.750 0.178
0.250 0.750 0.500
0.750 0.250 0.500

=====

--- B ---
GGA-PBE DySiPO, relaxed; crystal system = orthorhombic
1.0
3.639 0.000 0.000
0.000 5.891 0.000
0.000 0.000 6.780
Dy Si P O
2 2 2 2
Direct
0.000 0.244 0.000
0.000 0.756 0.500
0.500 0.370 0.593
0.500 0.630 0.093
0.000 0.238 0.417
0.000 0.762 0.917
0.500 0.229 0.810
0.500 0.771 0.310

=====

What should be chosen as the least stable of them? Choose A.

=====

--- A ---
GGA-PBE DySnPO, relaxed; crystal system = orthorhombic
1.0
4.442 0.000 0.000
0.000 6.546 0.000
0.000 0.000 6.237
Dy Sn P O
2 2 2 2
Direct
0.000 0.152 0.000
0.000 0.848 0.500
0.500 0.294 0.368
0.500 0.706 0.868
0.500 0.298 0.782
0.500 0.702 0.282
0.000 0.140 0.355
0.000 0.860 0.855

=====

--- B ---
GGA-PBE DySnPO, relaxed; crystal system = tetragonal
1.0
5.413 0.000 0.000
0.000 5.413 0.000
0.000 0.000 5.183
Dy Sn P O
2 2 2 2
Direct
0.250 0.750 0.000
0.750 0.250 0.000
0.250 0.250 0.494
0.750 0.750 0.506
0.250 0.250 0.992
0.750 0.750 0.008
0.250 0.750 0.500
0.750 0.250 0.500

=====

--- C ---
GGA-PBE DySnPO, relaxed; crystal system = orthorhombic
1.0
3.960 0.000 0.000
0.000 8.224 0.000
0.000 0.000 5.948
Dy Sn P O
2 2 2 2
Direct
0.000 0.158 0.000
0.000 0.842 0.500
0.500 0.367 0.592
0.500 0.633 0.092
0.000 0.176 0.475
0.000 0.824 0.975
0.500 0.241 0.923
0.500 0.759 0.423

=====

--- D ---
GGA-PBE DySnPO, relaxed; crystal system = tetragonal
1.0
4.072 0.000 0.000
0.000 4.072 0.000
0.000 0.000 9.714
Dy Sn P O
2 2 2 2
Direct
0.250 0.250 0.105
0.750 0.750 0.895
0.250 0.750 0.500
0.750 0.250 0.500
0.250 0.250 0.725
0.750 0.750 0.275
0.250 0.750 0.000
0.750 0.250 0.000

=====

What should be chosen as the least stable of them? Choose B.

=====

--- A ---
GGA-PBE TbDyPO, relaxed; crystal system = tetragonal
1.0
4.304 0.000 0.000
0.000 4.304 0.000
0.000 0.000 8.596
Tb Dy P O
2 2 2 2
Direct
0.250 0.750 0.000
0.750 0.250 0.000
0.250 0.250 0.399
0.750 0.750 0.601
0.250 0.250 0.801
0.750 0.750 0.199
0.250 0.750 0.500
0.750 0.250 0.500

=====

--- B ---
GGA-PBE TbDyPO, relaxed; crystal system = orthorhombic
1.0
4.159 0.000 0.000
0.000 7.519 0.000
0.000 0.000 5.695
Tb Dy P O
2 2 2 2
Direct
0.000 0.202 0.000
0.000 0.798 0.500
0.500 0.378 0.558
0.500 0.622 0.058
0.000 0.162 0.496
0.000 0.838 0.996
0.500 0.329 0.947
0.500 0.671 0.447

=====

--- C ---
GGA-PBE TbDyPO, relaxed; crystal system = tetragonal
1.0
4.304 0.000 0.000
0.000 4.304 0.000
0.000 0.000 8.609
Tb Dy P O
2 2 2 2
Direct
0.250 0.250 0.104
0.750 0.750 0.896
0.250 0.750 0.500
0.750 0.250 0.500
0.250 0.250 0.696
0.750 0.750 0.304
0.250 0.750 0.000
0.750 0.250 0.000

=====

--- D ---
GGA-PBE TbDyPO, relaxed; crystal system = orthorhombic
1.0
4.146 0.000 0.000
0.000 7.585 0.000
0.000 0.000 5.626
Tb Dy P O
2 2 2 2
Direct
0.000 0.124 0.000
0.000 0.876 0.500
0.500 0.298 0.450
0.500 0.702 0.950
0.500 0.343 0.947
0.500 0.657 0.447
0.000 0.173 0.403
0.000 0.827 0.903

=====

What should be chosen as the least stable of them? Choose A.

=====

--- A ---
GGA-PBE DyTePO, relaxed; crystal system = orthorhombic
1.0
5.217 0.000 0.000
0.000 7.309 0.000
0.000 0.000 6.008
Dy Te P O
2 2 2 2
Direct
0.000 0.176 0.000
0.000 0.824 0.500
0.500 0.324 0.589
0.500 0.676 0.089
0.500 0.333 0.012
0.500 0.667 0.512
0.000 0.047 0.298
0.000 0.953 0.798

=====

--- B ---
GGA-PBE DyTePO, relaxed; crystal system = tetragonal
1.0
5.457 0.000 0.000
0.000 5.457 0.000
0.000 0.000 5.225
Dy Te P O
2 2 2 2
Direct
0.250 0.750 0.000
0.750 0.250 0.000
0.250 0.250 0.495
0.750 0.750 0.505
0.250 0.250 0.990
0.750 0.750 0.010
0.250 0.750 0.500
0.750 0.250 0.500

=====

What should be chosen as the least stable of them? Choose B.